Record 1
YBiS3, relaxed, DFT PBE; ΔE to the lowest computed polymorph = 0.0 kJ per mole of atoms; N(E_F) = 0.0 states/eV/cell; formation energy without anion corrections = -1189 meV/atom; symmetry = P2_1/m
1.0
-2.574 -3.004 0.714
1.036 -2.455 -6.598
7.521 -5.666 3.270
Y Bi S
2 2 6
Cartesian
1.648 -4.027 -5.348 Y
4.334 -7.098 2.733 Y
6.075 -6.790 -1.014 Bi
-0.093 -4.335 -1.600 Bi
7.053 -6.923 1.953 S
-1.070 -4.202 -4.567 S
2.352 -3.993 -2.669 S
3.631 -7.132 0.054 S
5.452 -6.866 -3.578 S
0.530 -4.260 0.964 S

Record 2
YBiS2, relaxed, DFT PBE; N(E_F) = 1.1 states/eV/cell; formation energy without anion corrections = -492 meV/atom; symmetry = R-3m
1.0
4.618 -4.968 5.560
7.418 -2.458 3.984
5.058 -1.204 7.064
Y S Bi
1 2 1
Cartesian
0.000 0.000 0.000 Y
15.290 -7.720 14.855 S
1.804 -0.911 1.752 S
8.547 -4.315 8.304 Bi

Record 3
Y2Bi2S7, relaxed, DFT PBE; N(E_F) = 6.5 states/eV/cell; formation energy without anion corrections = -889 meV/atom; symmetry = Imm2
1.0
3.899 0.000 0.000
1.950 8.459 -0.061
1.950 3.957 7.476
Y Bi S
2 2 7
Cartesian
1.950 7.476 1.586 Y
3.899 5.394 5.071 Y
5.849 9.776 4.855 Bi
1.950 3.507 1.111 Bi
3.899 1.718 2.081 S
5.849 6.905 6.350 S
3.899 8.454 -0.053 S
3.899 5.395 2.183 S
3.899 7.936 3.701 S
3.899 9.770 6.890 S
1.950 3.552 4.347 S

Record 4
YZnBiS2, relaxed, DFT PBE; N(E_F) = 3.3 states/eV/cell; formation energy without anion corrections = 125 meV/atom; symmetry = P4/mmm
1.0
-1.160 3.536 -3.812
-3.766 -3.015 -1.651
-3.399 2.440 3.298
Y Zn S Bi
1 1 2 1
Cartesian
-4.163 1.480 -1.083 Y
-1.883 -1.508 -0.826 Zn
-1.700 1.220 1.649 S
-0.580 1.768 -1.906 S
0.000 0.000 0.000 Bi

Record 5
YbBi2S4, relaxed, DFT PBE; N(E_F) = 95.6 states/eV/cell; formation energy without anion corrections = -827 meV/atom; symmetry = Pnma
1.0
4.007 0.000 0.000
0.000 11.721 0.000
0.000 0.000 14.485
Yb Bi S
4 8 16
Cartesian
1.002 3.070 5.092 Yb
1.002 8.931 2.150 Yb
3.005 8.651 9.392 Yb
3.005 2.791 12.334 Yb
1.002 0.753 8.792 Bi
1.002 6.613 12.934 Bi
3.005 10.969 5.692 Bi
3.005 5.108 1.550 Bi
1.002 1.286 1.436 Bi
1.002 7.147 5.806 Bi
3.005 10.435 13.048 Bi
3.005 4.575 8.678 Bi
1.002 3.769 14.259 S
1.002 9.630 7.468 S
3.005 7.952 0.226 S
3.005 2.092 7.016 S
1.002 2.988 10.235 S
1.002 8.848 11.492 S
3.005 8.734 4.250 S
3.005 2.873 2.992 S
1.002 0.707 13.165 S
1.002 6.567 8.562 S
3.005 11.014 1.320 S
3.005 5.154 5.922 S
1.002 0.315 4.232 S
1.002 6.176 3.011 S
3.005 11.406 10.253 S
3.005 5.545 11.474 S

Record 6
ZnBiS3, relaxed, DFT PBE; ΔE to the lowest computed polymorph = 0.0 kJ per mole of atoms; N(E_F) = 9.6 states/eV/cell; formation energy without anion corrections = -263 meV/atom; symmetry = Pnma
1.0
-3.599 4.584 -2.528
-5.323 -5.118 -1.703
-4.541 1.604 9.375
Zn Bi S
4 4 12
Cartesian
-4.965 1.262 0.341 Zn
-4.503 0.669 6.591 Zn
-8.499 -0.192 4.803 Zn
-8.960 0.401 -1.447 Zn
-1.800 2.292 -1.264 Bi
-4.932 -1.757 3.836 Bi
-2.662 -2.559 -0.852 Bi
-4.070 3.094 3.424 Bi
-8.401 5.015 6.415 S
-5.486 0.810 2.622 S
-3.604 0.145 -1.264 S
-6.945 -3.280 2.615 S
-5.063 -3.945 -1.271 S
-7.978 0.260 2.522 S
-9.860 0.925 6.408 S
-6.518 4.350 2.529 S
-3.510 3.221 0.711 S
-6.460 -0.652 5.869 S
-9.954 -2.151 4.433 S
-7.004 1.722 -0.725 S

Record 7
ZnBiS2, relaxed, DFT PBE; ΔE to the lowest computed polymorph = 0.0 kJ per mole of atoms; N(E_F) = 6.3 states/eV/cell; formation energy without anion corrections = -265 meV/atom; symmetry = I-42d
1.0
-0.359 -6.225 2.078
4.570 -1.731 -4.395
5.366 -3.144 1.903
S Zn Bi
4 2 2
Cartesian
1.709 -4.528 1.104 S
4.132 -3.011 -1.889 S
5.872 -5.443 0.301 S
7.441 -9.218 -0.342 S
2.105 -3.978 -1.158 Zn
6.021 -4.427 -1.825 Zn
0.000 0.000 0.000 Bi
3.556 -6.674 1.412 Bi

Record 8
ZnBiS2, relaxed, DFT PBE; ΔE to the lowest computed polymorph = 12.2 kJ per mole of atoms; N(E_F) = 1.7 states/eV/cell; formation energy without anion corrections = -138 meV/atom; symmetry = R-3m
1.0
-5.101 -1.182 5.123
-4.770 -4.970 2.493
-1.637 -4.169 5.797
S Zn Bi
2 1 1
Cartesian
-10.287 -9.225 11.989 S
-1.221 -1.095 1.423 S
0.000 0.000 0.000 Zn
-5.754 -5.160 6.706 Bi

Record 9
Zn2BiS2, relaxed, DFT PBE; N(E_F) = 2.3 states/eV/cell; formation energy without anion corrections = 6 meV/atom; symmetry = I4/mmm
1.0
-1.702 4.298 1.355
-2.393 -2.090 3.621
1.326 1.640 5.027
S Zn Bi
2 2 1
Cartesian
-1.212 3.521 4.435 S
-1.557 0.327 5.568 S
-1.091 1.256 3.208 Zn
-1.678 2.592 6.796 Zn
0.000 0.000 0.000 Bi

Record 10
ZnBiS2, relaxed, DFT PBE; ΔE to the lowest computed polymorph = 29.4 kJ per mole of atoms; N(E_F) = 2.1 states/eV/cell; formation energy without anion corrections = 40 meV/atom; symmetry = Fm-3m
1.0
0.000 3.427 3.427
3.427 0.000 3.427
3.427 3.427 0.000
S Zn Bi
2 1 1
Cartesian
1.713 1.713 1.713 S
5.140 5.140 5.140 S
0.000 0.000 0.000 Zn
3.427 3.427 3.427 Bi

Record 11
ZnBiS2, relaxed, DFT PBE; ΔE to the lowest computed polymorph = 8.8 kJ per mole of atoms; N(E_F) = 4.1 states/eV/cell; formation energy without anion corrections = -174 meV/atom; symmetry = R-3m
1.0
2.093 0.000 8.096
-1.046 1.812 8.096
-1.046 -1.812 8.096
S Zn Bi
2 1 1
Cartesian
0.000 0.000 21.577 S
0.000 0.000 2.711 S
0.000 0.000 12.144 Zn
0.000 0.000 0.000 Bi

Record 12
ZnBiS3, relaxed, DFT PBE; ΔE to the lowest computed polymorph = 86.4 kJ per mole of atoms; N(E_F) = 4.9 states/eV/cell; formation energy without anion corrections = 632 meV/atom; symmetry = Pm-3m
1.0
-0.473 1.575 4.935
-5.163 0.258 -0.578
-0.420 -4.950 1.540
S Zn Bi
3 1 1
Cartesian
-2.581 0.129 -0.289 S
-0.210 -2.475 0.770 S
-0.237 0.788 2.467 S
-3.028 -1.559 2.948 Zn
0.000 0.000 0.000 Bi

Record 13
Zr4BiS8, relaxed, DFT PBE; N(E_F) = 11.3 states/eV/cell; formation energy without anion corrections = -1245 meV/atom; symmetry = F-43m
1.0
-6.763 3.572 1.028
-6.565 -3.510 -2.033
-4.889 -2.484 5.430
Zr Bi S
4 1 8
Cartesian
-10.289 1.020 2.171 Zr
-10.183 -2.762 0.536 Zr
-9.288 -2.214 4.522 Zr
-6.676 -0.887 1.622 Zr
-13.663 -1.816 3.319 Bi
-5.596 1.364 1.069 S
-5.502 -1.975 -0.374 S
-4.712 -1.491 3.145 S
-2.407 -0.320 0.585 S
-8.145 -3.033 2.247 S
-8.232 0.056 3.582 S
-8.963 -0.391 0.326 S
-11.096 -1.475 2.695 S

Record 14
ZrBiS2, relaxed, DFT PBE; N(E_F) = 3.9 states/eV/cell; formation energy without anion corrections = -1062 meV/atom; symmetry = P-1
1.0
3.496 0.002 0.750
-0.151 6.172 0.729
-0.110 -0.116 9.113
Zr Bi S
2 2 4
Cartesian
0.072 1.019 2.904 Zr
1.744 4.106 3.644 Zr
0.556 5.589 8.147 Bi
2.822 2.508 8.254 Bi
2.126 2.240 1.888 S
3.201 2.887 5.413 S
1.363 5.972 5.400 S
0.287 5.325 1.875 S

Record 15
ZrBiS, relaxed, DFT PBE; ΔE to the lowest computed polymorph = 0.0 kJ per mole of atoms; N(E_F) = 1.7 states/eV/cell; formation energy without anion corrections = -882 meV/atom; symmetry = P3m1
1.0
-0.179 -3.026 1.937
3.106 1.800 -0.242
-1.786 3.873 5.883
S Bi Zr
1 1 1
Cartesian
0.983 2.421 3.872 S
-0.083 0.180 0.273 Bi
0.241 0.046 3.434 Zr

Record 16
Zr2BiS2, relaxed, DFT PBE; ΔE to the lowest computed polymorph = 15.1 kJ per mole of atoms; N(E_F) = 8.7 states/eV/cell; formation energy without anion corrections = -832 meV/atom; symmetry = P4/mbm
1.0
7.864 0.000 0.000
0.000 7.864 0.000
0.000 0.000 3.209
S Bi Zr
4 2 4
Cartesian
2.919 6.851 0.000 S
6.851 4.945 0.000 S
4.945 1.013 0.000 S
1.013 2.919 0.000 S
0.000 0.000 0.000 Bi
3.932 3.932 0.000 Bi
1.225 5.157 1.604 Zr
5.157 6.639 1.604 Zr
6.639 2.707 1.604 Zr
2.707 1.225 1.604 Zr

Record 17
ZrBiS3, relaxed, DFT PBE; ΔE to the lowest computed polymorph = 15.9 kJ per mole of atoms; N(E_F) = 4.5 states/eV/cell; formation energy without anion corrections = -556 meV/atom; symmetry = Pm-3m
1.0
4.979 0.000 0.000
0.000 4.979 0.000
0.000 0.000 4.979
S Bi Zr
3 1 1
Cartesian
0.000 2.490 0.000 S
0.000 0.000 2.490 S
2.490 0.000 0.000 S
2.490 2.490 2.490 Bi
0.000 0.000 0.000 Zr

Record 18
Zr2BiS2, relaxed, DFT PBE; ΔE to the lowest computed polymorph = 0.0 kJ per mole of atoms; N(E_F) = 3.4 states/eV/cell; formation energy without anion corrections = -988 meV/atom; symmetry = I4/mmm
1.0
4.775 0.000 0.000
0.000 4.775 0.000
2.387 2.387 4.930
S Bi Zr
2 1 2
Cartesian
2.387 2.387 1.527 S
4.775 4.775 3.402 S
0.000 0.000 0.000 Bi
4.775 2.387 2.465 Zr
2.387 4.775 2.465 Zr

Record 19
Zr6BiS12, relaxed, DFT PBE; N(E_F) = 2.9 states/eV/cell; formation energy without anion corrections = -1097 meV/atom; symmetry = R-3m
1.0
7.803 -0.043 -0.061
-1.976 7.548 -0.061
-1.976 -2.545 7.107
Zr Bi S
6 1 12
Cartesian
4.061 1.229 1.731 Zr
0.184 0.237 4.572 Zr
0.184 4.239 1.731 Zr
3.667 4.723 2.413 Zr
-0.210 3.731 5.255 Zr
3.667 0.722 5.255 Zr
0.000 0.000 0.000 Bi
5.575 -0.353 3.493 S
4.257 2.737 3.854 S
1.596 2.056 5.805 S
2.255 0.158 3.131 S
2.255 2.904 1.181 S
-0.406 2.223 3.131 S
-1.724 1.546 6.168 S
1.925 6.248 0.818 S
-1.724 5.314 3.493 S
5.575 3.414 0.818 S
1.925 -1.287 6.168 S
1.596 4.803 3.854 S

Record 20
Zr6Bi3S, relaxed, DFT PBE; N(E_F) = 15.5 states/eV/cell; formation energy without anion corrections = -370 meV/atom; symmetry = Cmc2_1
1.0
6.390 0.000 0.000
0.000 8.956 0.053
0.000 -1.947 8.742
Zr Bi S
12 6 2
Cartesian
1.122 5.334 5.085 Zr
4.317 3.767 6.334 Zr
1.144 1.779 8.149 Zr
4.339 7.546 3.553 Zr
1.709 -1.645 8.501 Zr
4.089 0.656 6.667 Zr
0.894 6.352 2.128 Zr
4.904 8.654 0.294 Zr
1.144 -0.537 5.242 Zr
4.339 5.229 0.646 Zr
1.122 3.242 2.460 Zr
4.317 1.675 3.709 Zr
3.522 6.663 6.267 Bi
0.327 4.622 7.894 Bi
1.858 2.390 5.285 Bi
5.053 4.619 3.509 Bi
0.327 0.346 2.528 Bi
3.522 2.387 0.901 Bi
6.235 -0.375 7.489 S
3.040 7.384 1.305 S